(1)
Below is a relaxed structure of VNi2AuN, with properties calculated at the PBE level.

a b c (Å): 3.909 3.909 3.891
angles (deg): 90.00 90.00 90.00
Fractional coordinates of all 5 atoms:
V (0.000, 0.000, 0.000)
Ni (0.000, 0.500, 0.500)
Ni (0.500, 0.000, 0.500)
Au (0.500, 0.500, 0.000)
N (0.000, 0.000, 0.500)

Values from the calculation:
Crystal system: tetragonal
Raw formation energy: -0.2100 eV/atom
Density: 10.6 Mg/m³
Calculated volume: 11.9 Å³ per atom
Spin magnetization: 1.7 μB per cell
Calculated total energy: -33.334 eV per formula unit

(2)
Below is a relaxed structure of Cr2SnTe2, with properties calculated at the PBE level.

a b c (Å): 3.490 3.490 19.088
angles (deg): 90.00 90.00 90.00
Fractional coordinates of all 10 atoms:
Cr (0.000, 0.500, 0.250)
Cr (0.000, 0.500, 0.750)
Cr (0.500, 0.000, 0.250)
Cr (0.500, 0.000, 0.750)
Sn (0.000, 0.000, 0.000)
Sn (0.500, 0.500, 0.500)
Te (0.000, 0.000, 0.355)
Te (0.000, 0.000, 0.645)
Te (0.500, 0.500, 0.145)
Te (0.500, 0.500, 0.855)

Values from the calculation:
Crystal system: tetragonal
Raw formation energy: 0.1948 eV/atom
Density: 6.8 Mg/m³
Calculated volume: 23.3 Å³ per atom
Spin magnetization: 0.0 μB per cell
Calculated total energy: -28.559 eV per formula unit

(3)
Below is a relaxed structure of CdHg2Ir, with properties calculated at the PBE level.

a b c (Å): 9.740 3.155 5.211
angles (deg): 90.00 101.98 90.00
Fractional coordinates of all 8 atoms:
Cd (0.000, 0.000, 0.000)
Cd (0.500, 0.500, 0.000)
Hg (0.241, 0.000, 0.736)
Hg (0.259, 0.500, 0.264)
Hg (0.741, 0.500, 0.736)
Hg (0.759, 0.000, 0.264)
Ir (0.000, 0.500, 0.500)
Ir (0.500, 0.000, 0.500)

Values from the calculation:
Crystal system: monoclinic
Density: 15.0 Mg/m³
Calculated volume: 19.6 Å³ per atom
Spin magnetization: 0.0 μB per cell
Calculated total energy: -9.068 eV per formula unit

(4)
Below is a relaxed structure of UAlP2, with properties calculated at the PBE level.

a b c (Å): 4.319 4.319 3.560
angles (deg): 90.00 90.00 90.00
Fractional coordinates of all 4 atoms:
U (0.000, 0.000, 0.000)
Al (0.500, 0.500, 0.000)
P (0.000, 0.500, 0.500)
P (0.500, 0.000, 0.500)

Values from the calculation:
Crystal system: tetragonal
Density: 8.2 Mg/m³
Calculated volume: 16.6 Å³ per atom
Spin magnetization: 1.0 μB per cell
Calculated total energy: -28.399 eV per formula unit

(5)
Below is a relaxed structure of Y2InSn2, with properties calculated at the PBE level.

a b c (Å): 8.941 8.941 3.584
angles (deg): 90.00 90.00 90.00
Fractional coordinates of all 10 atoms:
Y (0.136, 0.364, 0.000)
Y (0.364, 0.864, 0.000)
Y (0.636, 0.136, 0.000)
Y (0.864, 0.636, 0.000)
In (0.000, 0.000, 0.000)
In (0.500, 0.500, 0.000)
Sn (0.165, 0.665, 0.500)
Sn (0.335, 0.165, 0.500)
Sn (0.665, 0.835, 0.500)
Sn (0.835, 0.335, 0.500)

Values from the calculation:
Crystal system: tetragonal
Density: 6.1 Mg/m³
Calculated volume: 28.7 Å³ per atom
Spin magnetization: 0.0 μB per cell
Calculated total energy: -25.784 eV per formula unit

(6)
Below is a relaxed structure of Tl2CrTc, with properties calculated at the PBE level.

a b c (Å): 3.200 3.200 26.792
angles (deg): 90.00 90.00 120.00
Fractional coordinates of all 12 atoms:
Tl (0.000, 0.000, 0.249)
Tl (0.000, 0.000, 0.751)
Tl (0.333, 0.667, 0.418)
Tl (0.333, 0.667, 0.916)
Tl (0.667, 0.333, 0.084)
Tl (0.667, 0.333, 0.582)
Cr (0.000, 0.000, 0.000)
Cr (0.333, 0.667, 0.667)
Cr (0.667, 0.333, 0.333)
Tc (0.000, 0.000, 0.500)
Tc (0.333, 0.667, 0.167)
Tc (0.667, 0.333, 0.833)

Values from the calculation:
Crystal system: trigonal
Density: 11.7 Mg/m³
Calculated volume: 19.8 Å³ per atom
Spin magnetization: 11.3 μB per cell
Calculated total energy: -21.529 eV per formula unit

(7)
Below is a relaxed structure of NdAl3Au3, with properties calculated at the PBE level.

a b c (Å): 7.025 7.025 7.025
angles (deg): 72.87 72.87 72.87
Fractional coordinates of all 14 atoms:
Nd (0.183, 0.183, 0.183)
Nd (0.817, 0.817, 0.817)
Al (0.083, 0.680, 0.372)
Al (0.320, 0.628, 0.917)
Al (0.372, 0.083, 0.680)
Al (0.628, 0.917, 0.320)
Al (0.680, 0.372, 0.083)
Al (0.917, 0.320, 0.628)
Au (0.159, 0.435, 0.739)
Au (0.261, 0.841, 0.565)
Au (0.435, 0.739, 0.159)
Au (0.565, 0.261, 0.841)
Au (0.739, 0.159, 0.435)
Au (0.841, 0.565, 0.261)

Values from the calculation:
Crystal system: trigonal
Density: 8.8 Mg/m³
Calculated volume: 22.0 Å³ per atom
Spin magnetization: 0.0 μB per cell
Calculated total energy: -28.830 eV per formula unit

(8)
Below is a relaxed structure of LaTb2ErS4, with properties calculated at the PBE level.

a b c (Å): 6.869 3.930 6.942
angles (deg): 90.00 109.00 90.00
Fractional coordinates of all 8 atoms:
La (0.000, 0.000, 0.000)
Tb (0.500, 0.000, 0.500)
Tb (0.500, 0.500, 0.000)
Er (0.000, 0.500, 0.500)
S (0.251, 0.000, 0.740)
S (0.260, 0.500, 0.264)
S (0.740, 0.500, 0.736)
S (0.749, 0.000, 0.260)

Values from the calculation:
Crystal system: monoclinic
Raw formation energy: -2.0200 eV/atom
Density: 7.0 Mg/m³
Calculated volume: 22.1 Å³ per atom
Spin magnetization: 0.0 μB per cell
Calculated total energy: -51.421 eV per formula unit

(9)
Below is a relaxed structure of HoPuAgHg, with properties calculated at the PBE level.

a b c (Å): 7.401 7.401 7.401
angles (deg): 90.00 90.00 90.00
Fractional coordinates of all 16 atoms:
Ho (0.000, 0.000, 0.000)
Ho (0.000, 0.500, 0.500)
Ho (0.500, 0.000, 0.500)
Ho (0.500, 0.500, 0.000)
Pu (0.000, 0.000, 0.500)
Pu (0.000, 0.500, 0.000)
Pu (0.500, 0.000, 0.000)
Pu (0.500, 0.500, 0.500)
Ag (0.250, 0.250, 0.250)
Ag (0.250, 0.750, 0.750)
Ag (0.750, 0.250, 0.750)
Ag (0.750, 0.750, 0.250)
Hg (0.250, 0.250, 0.750)
Hg (0.250, 0.750, 0.250)
Hg (0.750, 0.250, 0.250)
Hg (0.750, 0.750, 0.750)

Values from the calculation:
Crystal system: cubic
Density: 11.8 Mg/m³
Calculated volume: 25.3 Å³ per atom
Spin magnetization: 23.9 μB per cell
Calculated total energy: -22.697 eV per formula unit

(10)
Below is a relaxed structure of KCaCo2, with properties calculated at the PBE level.

a b c (Å): 10.282 3.705 7.793
angles (deg): 90.00 122.49 90.00
Fractional coordinates of all 8 atoms:
K (0.000, 0.000, 0.000)
K (0.500, 0.500, 0.000)
Ca (0.000, 0.500, 0.500)
Ca (0.500, 0.000, 0.500)
Co (0.243, 0.500, 0.421)
Co (0.257, 0.000, 0.579)
Co (0.743, 0.000, 0.421)
Co (0.757, 0.500, 0.579)

Values from the calculation:
Crystal system: monoclinic
Density: 2.6 Mg/m³
Calculated volume: 31.3 Å³ per atom
Spin magnetization: 5.7 μB per cell
Calculated total energy: -15.006 eV per formula unit

(11)
Below is a relaxed structure of Pm4Pr2YEr2, with properties calculated at the PBE level.

a b c (Å): 8.128 8.128 8.081
angles (deg): 107.60 107.60 36.84
Fractional coordinates of all 9 atoms:
Pm (0.056, 0.056, 0.331)
Pm (0.278, 0.278, 0.670)
Pm (0.722, 0.722, 0.330)
Pm (0.944, 0.944, 0.669)
Pr (0.388, 0.388, 0.331)
Pr (0.612, 0.612, 0.669)
Y (0.500, 0.500, 0.000)
Er (0.167, 0.167, 0.000)
Er (0.833, 0.833, 0.000)

Values from the calculation:
Crystal system: monoclinic
Density: 7.0 Mg/m³
Calculated volume: 33.7 Å³ per atom
Spin magnetization: 0.0 μB per cell
Calculated total energy: -43.958 eV per formula unit

(12)
Below is a relaxed structure of Mn8Mo3W, with properties calculated at the PBE level.

a b c (Å): 4.710 4.710 7.751
angles (deg): 90.00 90.00 120.00
Fractional coordinates of all 12 atoms:
Mn (0.000, 0.000, 0.000)
Mn (0.000, 0.000, 0.500)
Mn (0.172, 0.345, 0.249)
Mn (0.172, 0.828, 0.249)
Mn (0.345, 0.172, 0.749)
Mn (0.655, 0.828, 0.249)
Mn (0.828, 0.172, 0.749)
Mn (0.828, 0.655, 0.749)
Mo (0.333, 0.667, 0.565)
Mo (0.333, 0.667, 0.934)
Mo (0.667, 0.333, 0.433)
W (0.667, 0.333, 0.064)

Values from the calculation:
Crystal system: trigonal
Density: 10.2 Mg/m³
Calculated volume: 12.4 Å³ per atom
Spin magnetization: 0.0 μB per cell
Calculated total energy: -119.634 eV per formula unit